[1]
## AcYErLu (PBE)

Data for an optimized crystal structure of AcYErLu.

```
4
Lattice="-1.2131 -4.5759 3.3327 4.2925 -3.0261 2.4360 0.8536 0.2769 5.7194" Properties=species:S:1:pos:R:3 pbc="T T T"
Er 1.9665 -3.6626 5.7441
Ac 0.9832 -1.8313 2.8720
Lu 0.0000 0.0000 0.0000
Y 2.9497 -5.4939 8.6161
```

- formation enthalpy at 0 K (meV/atom) = 113
- SG = F-43m (216)
- crystal system = cubic
- volume (Å³ per cell) = 137.2

[2]
## K2GeAs (PBE)

Data for an optimized crystal structure of K2GeAs.

```
8
Lattice="-11.0737 1.5705 6.0552 1.7210 -11.0711 6.0188 -3.4948 -3.5598 7.8890" Properties=species:S:1:pos:R:3 pbc="T T T"
K -6.5087 -3.7859 9.1143
As -9.6224 -3.3699 9.9906
As 0.0000 0.0000 0.0000
Ge -4.6763 -4.7503 6.0370
K -12.1453 -2.3586 11.7928
Ge -3.2250 -9.6906 9.9724
K -10.0269 -0.9452 7.8473
K -9.8086 -6.3897 11.2079
```

- formation enthalpy at 0 K (meV/atom) = -40
- SG = I-42d (122)
- crystal system = tetragonal
- volume (Å³ per cell) = 404.2

[3]
## SmDy2Mg (PBE)

Data for an optimized crystal structure of SmDy2Mg.

```
4
Lattice="5.5268 0.0000 0.0000 2.7634 4.7863 0.0000 2.7634 1.5954 4.5126" Properties=species:S:1:pos:R:3 pbc="T T T"
Mg 5.5268 3.1909 2.2563
Dy 2.7634 1.5954 1.1282
Dy 8.2902 4.7863 3.3845
Sm 0.0000 0.0000 0.0000
```

- formation enthalpy at 0 K (meV/atom) = 77
- SG = Fm-3m (225)
- crystal system = cubic
- volume (Å³ per cell) = 119.4

[4]
## TbNd4Er2Mg (PBE)

Data for an optimized crystal structure of TbNd4Er2Mg.

```
8
Lattice="-2.0075 4.5155 -2.9630 -2.9078 -3.5709 -3.4717 -9.0486 -3.1854 1.2762" Properties=species:S:1:pos:R:3 pbc="T T T"
Mg -5.9782 -3.3781 -1.0977
Er -5.5280 0.6650 -0.8434
Nd -8.9007 -5.0715 -1.6983
Tb -2.4576 0.4723 -3.2174
Nd -8.4434 -1.0292 -1.4501
Nd -5.5205 -1.2116 -3.7084
Nd -5.0631 2.8307 -3.4602
Er -9.0486 -3.1854 1.2762
```

- formation enthalpy at 0 K (meV/atom) = 49
- SG = P4/mmm (123)
- crystal system = tetragonal
- volume (Å³ per cell) = 258.2

[5]
## ZrBeOs (PBE)

Data for an optimized crystal structure of ZrBeOs.

```
3
Lattice="-2.1924 2.7964 1.9644 -2.8392 -1.1503 2.6648 0.5779 0.6102 3.9722" Properties=species:S:1:pos:R:3 pbc="T T T"
Be -3.3403 1.6922 6.4510
Os 0.0000 0.0000 0.0000
Zr -2.2268 1.1281 4.3007
```

- formation enthalpy at 0 K (meV/atom) = -7
- SG = F-43m (216)
- crystal system = cubic
- volume (Å³ per cell) = 47.3

[6]
## CeTh2FeAu (PBE)

Data for an optimized crystal structure of CeTh2FeAu.

```
10
Lattice="4.4065 0.0000 0.0000 0.0000 7.9295 -0.3969 0.0000 -3.4648 7.2805" Properties=species:S:1:pos:R:3 pbc="T T T"
Ce 3.3049 1.9739 2.1226
Fe 1.1016 3.9955 6.2745
Ce 1.1016 2.4908 4.7610
Au 3.3049 0.1699 4.7917
Th 3.3049 5.0265 4.3937
Th 3.3049 5.5252 0.0666
Th 1.1016 -1.0605 6.8170
Th 1.1016 -0.5618 2.4899
Au 1.1016 4.2948 2.0919
Fe 3.3049 0.4691 0.6091
```

- formation enthalpy at 0 K (meV/atom) = -307
- SG = P2_1/m (11)
- crystal system = monoclinic
- volume (Å³ per cell) = 248.3

What did we get for electronic total energy? Answer: -4.801 -2.906 -3.803 -4.253 -7.842 -6.810 eV per atom, in the order shown.
What did we get for D(E_F)? Answer: 5.5 3.4 5.5 10.2 1.4 14.8 states/eV per cell, in the order shown.